Material: NdSmSi3Au
Method: DFT, PBE
State: optimized geometry

a = 8.2687 Å, b = 8.5509 Å, c = 14.3426 Å
α = 90.00°, β = 90.00°, γ = 90.00°
Space group Fmmm (No. 69)
Symmetry-distinct sites (fractional):
Nd  0.0000  0.2426  0.0000
Sm  0.2500  0.2500  0.2500
Si  0.0000  0.0000  0.1643
Si  0.2465  0.0000  0.0822
Au  0.0000  0.0000  0.3330

## Properties
The calculated total energy is -270.67 eV/cell. As for the crystal system: orthorhombic. The calculation puts the density at 7.5 g cm⁻³. Its energy above the lowest structure with this stoichiometry is 0 meV per atom. The spin magnetization comes out at 0.05 μB per cell.